[1]
Material: Fe2SiTc
Method: DFT, GGA-PBE
State: optimized geometry

Cell and atoms, written as POSCAR:
```
Fe2SiTc
1.0
4.828 -0.001 -0.001
-2.302 4.243 -0.001
0.443 0.744 2.452
Tc Fe Si
1 2 1
Cartesian
-0.930 2.494 1.226
0.000 0.000 0.000
1.263 2.121 -0.001
2.635 0.372 1.226
```

Properties
Size of the total moment (μB per cell): 4.5
VASP energy (eV/atom): -8.23


[2]
Material: FeSi2Tc
Method: DFT, GGA-PBE
State: optimized geometry

Cell and atoms, written as POSCAR:
```
FeSi2Tc
1.0
-0.698 3.300 -2.463
-3.911 1.264 -0.739
-1.384 3.580 1.647
Si Tc Fe
2 1 1
Cartesian
-1.498 2.036 -0.389
0.000 0.000 0.000
-4.495 6.107 -1.166
-2.997 4.072 -0.777
```

Properties
Size of the total moment (μB per cell): 1.6
VASP energy (eV/atom): -7.30


[3]
Material: FeSi2Tc
Method: DFT, GGA-PBE
State: optimized geometry

Cell and atoms, written as POSCAR:
```
FeSi2Tc
1.0
-4.530 0.411 -6.401
-2.002 0.056 -7.593
-3.466 -2.181 -6.701
Fe Tc Si
1 1 2
Cartesian
-7.456 -1.278 -15.434
-5.010 -0.859 -10.370
-2.499 -0.429 -5.174
-0.032 -0.005 -0.066
```

Properties
Size of the total moment (μB per cell): 1.9
VASP energy (eV/atom): -7.42


[4]
Material: FeSiTc
Method: DFT, GGA-PBE
State: optimized geometry

Cell and atoms, written as POSCAR:
```
FeSiTc
1.0
3.000 0.000 0.000
0.000 6.503 -0.167
0.000 -0.313 11.739
Si Fe Tc
6 6 6
Cartesian
0.750 4.436 10.712
2.250 1.540 8.703
2.250 4.781 6.768
0.750 4.650 2.869
0.750 1.410 4.804
2.250 1.754 0.860
0.750 2.334 2.564
2.250 0.644 6.482
0.750 5.547 5.090
2.250 -0.265 10.740
2.250 3.856 9.008
0.750 6.455 0.832
2.250 0.174 3.178
0.750 2.821 6.990
2.250 4.223 0.921
0.750 1.968 10.652
0.750 6.017 8.395
2.250 3.370 4.582
```

Properties
ΔE to the lowest computed polymorph (eV per atom): 0.000
Size of the total moment (μB per cell): 14.2


[5]
Material: FeSi4Tc
Method: DFT, GGA-PBE
State: optimized geometry

Cell and atoms, written as POSCAR:
```
FeSi4Tc
1.0
0.000 3.380 3.380
3.380 0.000 3.380
3.380 3.380 0.000
Si Fe Tc
4 1 1
Cartesian
2.536 4.225 2.536
2.536 2.536 4.225
4.225 4.225 4.225
4.225 2.536 2.536
0.000 0.000 0.000
1.690 1.690 1.690
```

Properties
Size of the total moment (μB per cell): 2.2
VASP energy (eV/atom): -6.33


[6]
Material: FeSi2Tc
Method: DFT, GGA-PBE
State: optimized geometry

Cell and atoms, written as POSCAR:
```
FeSi2Tc
1.0
-0.441 1.440 2.320
0.459 -2.708 0.325
7.370 1.320 0.581
Tc Si Fe
1 2 1
Cartesian
1.852 -0.304 1.468
7.285 1.305 0.575
3.769 0.675 0.297
5.536 0.356 1.759
```

Properties
Size of the total moment (μB per cell): 1.3
VASP energy (eV/atom): -7.54


[7]
Material: FeSi2Tc
Method: DFT, GGA-PBE
State: optimized geometry

Cell and atoms, written as POSCAR:
```
FeSi2Tc
1.0
4.260 0.000 0.000
0.000 2.835 0.001
0.000 -0.001 4.129
Si Tc Fe
2 1 1
Cartesian
0.000 2.481 0.134
2.130 1.063 0.839
0.000 1.063 2.181
2.130 2.480 3.042
```

Properties
Size of the total moment (μB per cell): 0.2
VASP energy (eV/atom): -7.68


[8]
Material: Fe2SiTc4
Method: DFT, GGA-PBE
State: optimized geometry

Cell and atoms, written as POSCAR:
```
Fe2SiTc4
1.0
4.365 0.000 0.000
0.000 4.365 0.000
2.182 2.182 6.005
Si Fe Tc
1 2 4
Cartesian
0.000 0.000 0.000
4.365 4.365 4.571
2.182 2.182 1.434
4.365 4.365 2.315
2.182 2.182 3.690
0.000 2.182 0.000
2.182 0.000 0.000
```

Properties
Size of the total moment (μB per cell): 6.3
VASP energy (eV/atom): -8.10


[9]
Material: Fe3SiTc
Method: DFT, GGA-PBE
State: optimized geometry

Cell and atoms, written as POSCAR:
```
Fe3SiTc
1.0
-3.948 1.070 -0.728
-0.865 -0.444 4.039
0.962 3.989 0.645
Fe Si Tc
3 1 1
Cartesian
-0.433 -0.222 2.019
0.481 1.995 0.323
-1.974 0.535 -0.364
0.000 0.000 0.000
-1.925 2.307 1.978
```

Properties
ΔE to the lowest computed polymorph (eV per atom): 0.000
Size of the total moment (μB per cell): 7.4


[10]
Material: FeSi2Tc
Method: DFT, GGA-PBE
State: optimized geometry

Cell and atoms, written as POSCAR:
```
FeSi2Tc
1.0
5.561 0.482 -0.382
3.406 4.422 0.382
-4.410 -2.586 2.273
Fe Si Tc
1 2 1
Cartesian
1.373 1.944 1.327
0.453 0.248 0.000
3.052 0.303 0.945
4.162 2.277 0.000
```

Properties
Size of the total moment (μB per cell): 1.3
VASP energy (eV/atom): -7.74


[11]
Material: FeSiTc
Method: DFT, GGA-PBE
State: optimized geometry

Cell and atoms, written as POSCAR:
```
FeSiTc
1.0
2.707 0.000 0.000
-1.353 2.344 0.000
0.000 0.000 5.988
Tc Fe Si
1 1 1
Cartesian
0.000 1.563 4.024
0.000 0.000 0.055
1.353 0.781 1.909
```

Properties
ΔE to the lowest computed polymorph (eV per atom): 0.198
Size of the total moment (μB per cell): 1.1


[12]
Material: Fe2SiTc
Method: DFT, GGA-PBE
State: optimized geometry

Cell and atoms, written as POSCAR:
```
Fe2SiTc
1.0
-2.307 -3.385 0.164
0.360 -0.048 4.084
-2.342 1.606 0.225
Fe Tc Si
2 1 1
Cartesian
-0.974 -1.716 2.124
0.000 0.000 0.000
-0.991 0.779 2.154
-2.324 -0.889 0.194
```

Properties
Size of the total moment (μB per cell): 2.7
VASP energy (eV/atom): -8.22


[13]
Material: Fe2Si2Tc
Method: DFT, GGA-PBE
State: optimized geometry

Cell and atoms, written as POSCAR:
```
Fe2Si2Tc
1.0
-2.992 0.838 -1.581
1.513 -0.461 -3.107
-2.187 -4.888 -2.297
Fe Si Tc
2 2 1
Cartesian
-0.707 -2.580 -3.874
-2.959 -1.931 -3.111
-1.056 -0.920 -2.334
-2.611 -3.591 -4.651
0.000 0.000 0.000
```

Properties
ΔE to the lowest computed polymorph (eV per atom): 0.287
Size of the total moment (μB per cell): 4.2